(1)
A geometry-optimized Np2BiPd9 structure. Source: Alexandria via LeMat-Bulk, functional PBE-GGA.

Cell and atoms, written as CIF:
```
data_Np2BiPd9
_cell_length_a 4.150
_cell_length_b 4.150
_cell_length_c 12.389
_cell_angle_alpha 90.00
_cell_angle_beta 90.00
_cell_angle_gamma 90.00
_symmetry_space_group_name_H-M 'P 4/m m m'
_symmetry_Int_Tables_number 123
_symmetry_space_group_name_Hall '-P 4 2'
loop_
_atom_site_label
_atom_site_type_symbol
_atom_site_fract_x
_atom_site_fract_y
_atom_site_fract_z
_atom_site_occupancy
Np1 Np 0.000 0.000 0.167 1
Bi1 Bi 0.000 0.000 0.500 1
Pd1 Pd 0.000 0.500 0.000 1
Pd2 Pd 0.000 0.500 0.330 1
Pd3 Pd 0.500 0.500 0.167 1
Pd4 Pd 0.500 0.500 0.500 1
```

DOS at the Fermi energy ... 2.04 states/eV per atom
Energy of formation ... -369 meV/atom
E_tot ... -0.248 hartree per atom



(2)
A geometry-optimized Ag2Sn4S9 structure. Source: Alexandria via LeMat-Bulk, functional PBE-GGA.

Cell and atoms, written as CIF:
```
data_Ag2Sn4S9
_cell_length_a 6.609
_cell_length_b 6.611
_cell_length_c 17.955
_cell_angle_alpha 89.98
_cell_angle_beta 90.00
_cell_angle_gamma 60.01
_symmetry_space_group_name_H-M 'P -1'
_symmetry_Int_Tables_number 2
_symmetry_space_group_name_Hall '-P 1'
loop_
_atom_site_label
_atom_site_type_symbol
_atom_site_fract_x
_atom_site_fract_y
_atom_site_fract_z
_atom_site_occupancy
Ag1 Ag 0.000 0.000 0.142 1
Ag2 Ag 0.000 0.000 0.357 1
Sn1 Sn 0.332 0.334 0.189 1
Sn2 Sn 0.333 0.333 0.482 1
Sn3 Sn 0.333 0.333 0.982 1
Sn4 Sn 0.334 0.333 0.689 1
S1 S 0.001 0.306 0.750 1
S2 S 0.037 0.336 0.081 1
S3 S 0.037 0.627 0.581 1
S4 S 0.305 0.000 0.250 1
S5 S 0.307 0.694 0.750 1
S6 S 0.336 0.037 0.581 1
S7 S 0.336 0.627 0.081 1
S8 S 0.372 0.665 0.419 1
S9 S 0.373 0.963 0.919 1
```

DOS at the Fermi energy ... 0.27 states/eV per atom
E_form (uncorrected) ... -0.224 eV/atom
E_tot ... -0.152 hartree per atom



(3)
A geometry-optimized LaNiRu2 structure. Source: Alexandria via LeMat-Bulk, functional PBE-GGA.

Cell and atoms, written as CIF:
```
data_LaNiRu2
_cell_length_a 4.166
_cell_length_b 4.431
_cell_length_c 4.171
_cell_angle_alpha 90.00
_cell_angle_beta 107.14
_cell_angle_gamma 90.00
_symmetry_space_group_name_H-M 'P 1 2/m 1'
_symmetry_Int_Tables_number 10
_symmetry_space_group_name_Hall '-P 2y'
loop_
_atom_site_label
_atom_site_type_symbol
_atom_site_fract_x
_atom_site_fract_y
_atom_site_fract_z
_atom_site_occupancy
La1 La 0.000 0.000 0.000 1
Ni1 Ni 0.500 0.000 0.500 1
Ru1 Ru 0.312 0.500 0.693 1
```

DOS at the Fermi energy ... 0.89 states/eV per atom
Energy of formation ... 123 meV/atom
E_tot ... -0.264 hartree per atom
ΔE to the lowest computed polymorph ... 188.8 meV per atom



> What is the formula in the second record?

Ag2Sn4S9



> The lowest DOS at the Fermi energy belongs to which entry?

Ag2Sn4S9



> DOS at the Fermi energy of number 1 (Np2BiPd9)?

2.04 states/eV per atom



> What is the E_tot in the second record?

-0.152 hartree per atom